1.
{"formula": "Ba2BiF", "functional": "PBE", "state": "relaxed", "vol_a3_per_fu": 157, "e_form_raw_ev_per_fu": -7.83, "cell": [[8.251, 0.000, 0.000], [0.000, 9.873, 0.000], [-3.058, 0.000, 7.696]], "species": ["Ba", "Ba", "Ba", "Ba", "Ba", "Ba", "Ba", "Ba", "Bi", "Bi", "Bi", "Bi", "F", "F", "F", "F"], "frac_coords": [[0.205, 0.212, 0.077], [0.205, 0.288, 0.577], [0.268, 0.616, 0.935], [0.268, 0.884, 0.435], [0.732, 0.116, 0.565], [0.732, 0.384, 0.065], [0.795, 0.712, 0.423], [0.795, 0.788, 0.923], [0.141, 0.559, 0.289], [0.141, 0.941, 0.789], [0.859, 0.059, 0.211], [0.859, 0.441, 0.711], [0.383, 0.139, 0.415], [0.383, 0.361, 0.915], [0.617, 0.639, 0.085], [0.617, 0.861, 0.585]]}



2.
{"formula": "YMg6Sb", "functional": "PBE", "state": "relaxed", "vol_a3_per_fu": 195, "e_form_raw_ev_per_fu": -1.10, "cell": [[5.072, 0.000, 0.000], [0.000, 3.327, 5.769], [0.000, -3.327, 5.769]], "species": ["Y", "Mg", "Mg", "Mg", "Mg", "Mg", "Mg", "Sb"], "frac_coords": [[0.000, 0.000, 0.000], [0.000, 0.024, 0.490], [0.000, 0.490, 0.024], [0.000, 0.517, 0.517], [0.500, 0.360, 0.360], [0.500, 0.362, 0.848], [0.500, 0.848, 0.362], [0.500, 0.836, 0.836]]}



3.
{"formula": "Pm2Hg6Pb", "functional": "PBE", "state": "relaxed", "vol_a3_per_fu": 234, "final_energy_ev_per_atom": -1.94, "cell": [[7.630, -4.404, 0.000], [7.630, 4.404, 0.000], [-0.008, 0.000, 3.476]], "species": ["Pm", "Pm", "Hg", "Hg", "Hg", "Hg", "Hg", "Hg", "Pb"], "frac_coords": [[0.167, 0.167, 0.000], [0.833, 0.833, 0.000], [0.167, 0.500, 0.499], [0.167, 0.833, 0.500], [0.500, 0.167, 0.499], [0.500, 0.833, 0.501], [0.833, 0.167, 0.500], [0.833, 0.500, 0.501], [0.500, 0.500, 0.000]]}



4.
{"formula": "TbPuTcRu", "functional": "PBE", "state": "relaxed", "vol_a3_per_fu": 78, "final_energy_ev_per_atom": -9.74, "cell": [[0.000, 3.391, 3.391], [3.391, 0.000, 3.391], [3.391, 3.391, 0.000]], "species": ["Tb", "Pu", "Tc", "Ru"], "frac_coords": [[0.000, 0.000, 0.000], [0.500, 0.500, 0.500], [0.250, 0.250, 0.250], [0.750, 0.750, 0.750]]}



5.
{"formula": "BaGaAg2Te4", "functional": "PBE", "state": "relaxed", "vol_a3_per_fu": 261, "e_form_raw_ev_per_fu": -4.54, "cell": [[-3.844, 3.844, 4.410], [3.844, -3.844, 4.410], [3.844, 3.844, -4.410]], "species": ["Ba", "Ga", "Ag", "Ag", "Te", "Te", "Te", "Te"], "frac_coords": [[0.000, 0.000, 0.000], [0.500, 0.500, 0.000], [0.252, 0.752, 0.500], [0.748, 0.248, 0.500], [0.128, 0.128, 0.599], [0.471, 0.872, 0.000], [0.529, 0.529, 0.401], [0.872, 0.471, 0.000]]}



6.
{"formula": "FeTc2Sn", "functional": "PBE", "state": "relaxed", "vol_a3_per_fu": 61, "final_energy_ev_per_atom": -8.11, "cell": [[3.113, 0.000, 0.000], [0.000, 3.113, 0.000], [0.000, 0.000, 6.292]], "species": ["Fe", "Tc", "Tc", "Sn"], "frac_coords": [[0.000, 0.000, 0.000], [0.500, 0.500, 0.224], [0.500, 0.500, 0.776], [0.000, 0.000, 0.500]]}



7.
{"formula": "Tb2Zn5Pb", "functional": "PBE", "state": "relaxed", "vol_a3_per_fu": 163, "final_energy_ev_per_atom": -2.76, "cell": [[2.189, -8.203, 0.000], [2.189, 8.203, 0.000], [0.000, 0.000, 9.083]], "species": ["Tb", "Tb", "Tb", "Tb", "Zn", "Zn", "Zn", "Zn", "Zn", "Zn", "Zn", "Zn", "Zn", "Zn", "Pb", "Pb"], "frac_coords": [[0.000, 0.000, 0.000], [0.000, 0.000, 0.500], [0.203, 0.797, 0.750], [0.797, 0.203, 0.250], [0.187, 0.813, 0.109], [0.187, 0.813, 0.391], [0.341, 0.659, 0.018], [0.341, 0.659, 0.482], [0.387, 0.613, 0.750], [0.613, 0.387, 0.250], [0.659, 0.341, 0.518], [0.659, 0.341, 0.982], [0.813, 0.187, 0.609], [0.813, 0.187, 0.891], [0.449, 0.551, 0.250], [0.551, 0.449, 0.750]]}



8.
{"formula": "La3Pm5Ga2", "functional": "PBE", "state": "relaxed", "vol_a3_per_fu": 326, "final_energy_ev_per_atom": -4.61, "cell": [[11.938, 0.000, 0.000], [0.000, 11.938, 0.000], [0.000, 0.000, 4.581]], "species": ["La", "La", "La", "La", "La", "La", "Pm", "Pm", "Pm", "Pm", "Pm", "Pm", "Pm", "Pm", "Pm", "Pm", "Ga", "Ga", "Ga", "Ga"], "frac_coords": [[0.000, 0.000, 0.000], [0.173, 0.327, 0.000], [0.327, 0.827, 0.000], [0.500, 0.500, 0.000], [0.673, 0.173, 0.000], [0.827, 0.673, 0.000], [0.000, 0.500, 0.500], [0.075, 0.784, 0.500], [0.216, 0.075, 0.500], [0.284, 0.575, 0.500], [0.425, 0.284, 0.500], [0.500, 0.000, 0.500], [0.575, 0.716, 0.500], [0.716, 0.425, 0.500], [0.784, 0.925, 0.500], [0.925, 0.216, 0.500], [0.123, 0.623, 0.000], [0.377, 0.123, 0.000], [0.623, 0.877, 0.000], [0.877, 0.377, 0.000]]}



9.
{"formula": "VPdCl5", "functional": "PBE", "state": "relaxed", "vol_a3_per_fu": 174, "e_form_raw_ev_per_fu": -5.37, "cell": [[3.757, -5.319, 0.000], [3.757, 5.319, 0.000], [-2.858, 0.000, 8.730]], "species": ["V", "V", "Pd", "Pd", "Cl", "Cl", "Cl", "Cl", "Cl", "Cl", "Cl", "Cl", "Cl", "Cl"], "frac_coords": [[0.000, 0.000, 0.000], [0.000, 0.000, 0.500], [0.352, 0.648, 0.750], [0.648, 0.352, 0.250], [0.071, 0.929, 0.250], [0.189, 0.766, 0.546], [0.234, 0.811, 0.954], [0.311, 0.344, 0.083], [0.344, 0.311, 0.583], [0.656, 0.689, 0.417], [0.689, 0.656, 0.917], [0.766, 0.189, 0.046], [0.811, 0.234, 0.454], [0.929, 0.071, 0.750]]}



10.
{"formula": "Rb2LiScI6", "functional": "PBE", "state": "relaxed", "vol_a3_per_fu": 408, "e_form_raw_ev_per_fu": -13.11, "cell": [[0.000, 5.886, 5.886], [5.886, 0.000, 5.886], [5.886, 5.886, 0.000]], "species": ["Rb", "Rb", "Li", "Sc", "I", "I", "I", "I", "I", "I"], "frac_coords": [[0.250, 0.250, 0.250], [0.750, 0.750, 0.750], [0.000, 0.000, 0.000], [0.500, 0.500, 0.500], [0.254, 0.254, 0.746], [0.254, 0.746, 0.254], [0.254, 0.746, 0.746], [0.746, 0.254, 0.254], [0.746, 0.254, 0.746], [0.746, 0.746, 0.254]]}



11.
{"formula": "Hg2Pd2Br", "functional": "PBE", "state": "relaxed", "vol_a3_per_fu": 103, "e_form_raw_ev_per_fu": -0.24, "cell": [[7.655, 0.000, 0.000], [0.000, 7.655, 0.000], [0.000, 0.000, 3.498]], "species": ["Hg", "Hg", "Hg", "Hg", "Pd", "Pd", "Pd", "Pd", "Br", "Br"], "frac_coords": [[0.160, 0.340, 0.000], [0.340, 0.840, 0.000], [0.660, 0.160, 0.000], [0.840, 0.660, 0.000], [0.135, 0.635, 0.500], [0.365, 0.135, 0.500], [0.635, 0.865, 0.500], [0.865, 0.365, 0.500], [0.000, 0.000, 0.500], [0.500, 0.500, 0.500]]}



12.
{"formula": "Pm2TmInC", "functional": "PBE", "state": "relaxed", "vol_a3_per_fu": 126, "final_energy_ev_per_atom": -5.60, "cell": [[5.100, 0.000, 0.000], [0.000, 5.100, 0.000], [0.000, 0.000, 4.846]], "species": ["Pm", "Pm", "Tm", "In", "C"], "frac_coords": [[0.000, 0.500, 0.000], [0.500, 0.000, 0.000], [0.000, 0.000, 0.500], [0.500, 0.500, 0.500], [0.000, 0.000, 0.000]]}



13.
{"formula": "Hf7InBi2H2", "functional": "PBE", "state": "relaxed", "vol_a3_per_fu": 231, "final_energy_ev_per_atom": -7.43, "cell": [[3.070, -3.060, 0.000], [3.070, 3.060, 0.000], [-2.208, 0.000, 12.270]], "species": ["Hf", "Hf", "Hf", "Hf", "Hf", "Hf", "Hf", "In", "Bi", "Bi", "H", "H"], "frac_coords": [[0.000, 0.000, 0.000], [0.066, 0.568, 0.185], [0.138, 0.138, 0.397], [0.432, 0.934, 0.815], [0.568, 0.066, 0.185], [0.862, 0.862, 0.603], [0.934, 0.432, 0.815], [0.500, 0.500, 0.000], [0.366, 0.366, 0.631], [0.634, 0.634, 0.369], [0.062, 0.062, 0.170], [0.938, 0.938, 0.830]]}



14.
{"formula": "MnRe2P", "functional": "PBE", "state": "relaxed", "vol_a3_per_fu": 54, "final_energy_ev_per_atom": -9.76, "cell": [[2.829, 0.000, 0.000], [0.000, 3.884, 0.000], [0.000, 0.000, 4.878]], "species": ["Mn", "Re", "Re", "P"], "frac_coords": [[0.000, 0.000, 0.000], [0.000, 0.000, 0.480], [0.500, 0.500, 0.727], [0.500, 0.500, 0.215]]}



15.
{"formula": "Na2GeRh2S6", "functional": "PBE", "state": "relaxed", "vol_a3_per_fu": 218, "e_form_raw_ev_per_fu": -7.63, "cell": [[3.080, -5.380, 0.000], [3.080, 5.380, 0.000], [-2.072, 0.000, 6.589]], "species": ["Na", "Na", "Ge", "Rh", "Rh", "S", "S", "S", "S", "S", "S"], "frac_coords": [[0.165, 0.835, 0.000], [0.835, 0.165, 0.000], [0.000, 0.000, 0.500], [0.333, 0.667, 0.500], [0.667, 0.333, 0.500], [0.062, 0.405, 0.690], [0.274, 0.274, 0.311], [0.405, 0.062, 0.690], [0.595, 0.938, 0.310], [0.726, 0.726, 0.689], [0.938, 0.595, 0.310]]}



16.
{"formula": "LiScTlCl5", "functional": "PBE", "state": "relaxed", "vol_a3_per_fu": 227, "e_form_raw_ev_per_fu": -14.16, "cell": [[4.351, -5.888, 0.000], [4.351, 5.888, 0.000], [-3.821, 0.000, 8.867]], "species": ["Li", "Li", "Sc", "Sc", "Tl", "Tl", "Cl", "Cl", "Cl", "Cl", "Cl", "Cl", "Cl", "Cl", "Cl", "Cl"], "frac_coords": [[0.192, 0.808, 0.750], [0.808, 0.192, 0.250], [0.500, 0.500, 0.000], [0.500, 0.500, 0.500], [0.157, 0.843, 0.250], [0.843, 0.157, 0.750], [0.141, 0.268, 0.423], [0.207, 0.597, 0.903], [0.268, 0.141, 0.923], [0.403, 0.793, 0.597], [0.435, 0.565, 0.250], [0.565, 0.435, 0.750], [0.597, 0.207, 0.403], [0.732, 0.859, 0.077], [0.793, 0.403, 0.097], [0.859, 0.732, 0.577]]}



17.
{"formula": "VSnSb2", "functional": "PBE", "state": "relaxed", "vol_a3_per_fu": 134, "e_form_raw_ev_per_fu": 1.21, "cell": [[-3.220, 3.220, 6.479], [3.220, -3.220, 6.479], [3.220, 3.220, -6.479]], "species": ["V", "V", "Sn", "Sn", "Sb", "Sb", "Sb", "Sb"], "frac_coords": [[0.000, 0.000, 0.000], [0.750, 0.250, 0.500], [0.250, 0.750, 0.500], [0.500, 0.500, 0.000], [0.098, 0.625, 0.973], [0.375, 0.348, 0.473], [0.652, 0.125, 0.027], [0.875, 0.902, 0.527]]}



18.
{"formula": "PrZn3Ag2", "functional": "PBE", "state": "relaxed", "vol_a3_per_fu": 119, "final_energy_ev_per_atom": -2.57, "cell": [[4.974, -4.237, 0.000], [4.974, 4.237, 0.000], [0.000, 0.000, 5.654]], "species": ["Pr", "Pr", "Zn", "Zn", "Zn", "Zn", "Zn", "Zn", "Ag", "Ag", "Ag", "Ag"], "frac_coords": [[0.164, 0.836, 0.750], [0.836, 0.164, 0.250], [0.064, 0.626, 0.250], [0.374, 0.936, 0.250], [0.457, 0.543, 0.250], [0.543, 0.457, 0.750], [0.626, 0.064, 0.750], [0.936, 0.374, 0.750], [0.276, 0.276, 0.000], [0.276, 0.276, 0.500], [0.724, 0.724, 0.000], [0.724, 0.724, 0.500]]}



19.
{"formula": "Hf2TcNiC", "functional": "PBE", "state": "relaxed", "vol_a3_per_fu": 96, "final_energy_ev_per_atom": -8.10, "cell": [[4.982, 0.000, 0.000], [0.000, 4.982, 0.000], [0.000, 0.000, 3.886]], "species": ["Hf", "Hf", "Tc", "Ni", "C"], "frac_coords": [[0.000, 0.500, 0.000], [0.500, 0.000, 0.000], [0.000, 0.000, 0.000], [0.500, 0.500, 0.500], [0.000, 0.000, 0.500]]}



20.
{"formula": "TiNb2V2W2", "functional": "PBE", "state": "relaxed", "vol_a3_per_fu": 118, "final_energy_ev_per_atom": -9.92, "cell": [[4.955, -1.456, 0.000], [4.955, 1.456, 0.000], [-0.114, 0.000, 8.148]], "species": ["Ti", "Nb", "Nb", "V", "V", "W", "W"], "frac_coords": [[0.000, 0.000, 0.000], [0.364, 0.364, 0.592], [0.636, 0.636, 0.408], [0.292, 0.292, 0.890], [0.708, 0.708, 0.110], [0.389, 0.389, 0.260], [0.611, 0.611, 0.740]]}



21.
{"formula": "YScP2S", "functional": "PBE", "state": "relaxed", "vol_a3_per_fu": 115, "e_form_raw_ev_per_fu": -2.91, "cell": [[4.866, 0.000, 0.000], [0.000, 4.866, 0.000], [0.000, 0.000, 4.845]], "species": ["Y", "Sc", "P", "P", "S"], "frac_coords": [[0.000, 0.000, 0.000], [0.500, 0.500, 0.500], [0.000, 0.500, 0.500], [0.500, 0.000, 0.500], [0.500, 0.500, 0.000]]}



22.
{"formula": "Be2ZnNi2", "functional": "PBE", "state": "relaxed", "vol_a3_per_fu": 54, "final_energy_ev_per_atom": -4.10, "cell": [[-1.475, 1.475, 6.161], [1.475, -1.475, 6.161], [1.475, 1.475, -6.161]], "species": ["Be", "Be", "Zn", "Ni", "Ni"], "frac_coords": [[0.250, 0.750, 0.500], [0.750, 0.250, 0.500], [0.000, 0.000, 0.000], [0.388, 0.388, 0.000], [0.612, 0.612, 0.000]]}